1.
LaZn4Au2 after structural relaxation, computed with PBE.

Lattice parameters (Å, degrees): 4.402 7.798 7.798 90.00 90.00 90.00
Positions (direct):
1 La 0.500 0.000 0.000
2 La 0.000 0.500 0.500
3 Zn 0.000 0.093 0.351
4 Zn 0.000 0.907 0.649
5 Zn 0.500 0.149 0.593
6 Zn 0.500 0.851 0.407
7 Zn 0.500 0.407 0.851
8 Zn 0.500 0.593 0.149
9 Zn 0.000 0.351 0.093
10 Zn 0.000 0.649 0.907
11 Au 0.000 0.213 0.787
12 Au 0.000 0.787 0.213
13 Au 0.500 0.713 0.713
14 Au 0.500 0.287 0.287

Values from the calculation:
Energy of formation, eV/atom: -0.434
SG: P4_2/mnm
M_tot, μB/f.u.: 0.000
V, Å³/atom: 19.12

=====

2.
La6ZnAu2 after structural relaxation, computed with PBE.

Lattice parameters (Å, degrees): 6.735 8.151 10.348 90.00 87.07 90.00
Positions (direct):
1 La 0.836 0.936 0.236
2 La 0.839 0.654 0.549
3 La 0.865 0.708 0.928
4 La 0.635 0.208 0.572
5 La 0.661 0.154 0.951
6 La 0.664 0.436 0.264
7 La 0.164 0.064 0.764
8 La 0.161 0.346 0.451
9 La 0.135 0.292 0.072
10 La 0.365 0.792 0.428
11 La 0.339 0.846 0.049
12 La 0.336 0.564 0.736
13 Zn 0.500 0.500 0.000
14 Zn 0.000 0.000 0.500
15 Au 0.916 0.390 0.768
16 Au 0.584 0.890 0.732
17 Au 0.416 0.110 0.268
18 Au 0.084 0.610 0.232

Values from the calculation:
Energy of formation, eV/atom: -0.350
SG: P2_1/c
M_tot, μB/f.u.: 0.000
V, Å³/atom: 31.52

=====

3.
La3Zn2Au after structural relaxation, computed with PBE.

Lattice parameters (Å, degrees): 3.794 3.794 11.155 90.00 90.00 90.00
Positions (direct):
1 La 0.000 0.000 0.000
2 La 0.000 0.000 0.668
3 La 0.000 0.000 0.332
4 Zn 0.500 0.500 0.840
5 Zn 0.500 0.500 0.160
6 Au 0.500 0.500 0.500

Values from the calculation:
Energy of formation, eV/atom: -0.472
SG: P4/mmm
M_tot, μB/f.u.: 0.001
V, Å³/atom: 26.77

=====

4.
La4ZnAu2 after structural relaxation, computed with PBE.

Lattice parameters (Å, degrees): 5.309 5.309 9.071 72.98 72.98 60.00
Last column: magnetic moment on the atom in μB.
Positions (direct):
1 La 0.874 0.874 0.378  0.08
2 La 0.126 0.126 0.622  0.08
3 La 0.623 0.623 0.132  0.05
4 La 0.377 0.377 0.868  0.05
5 Zn 0.000 0.000 0.000  0.00
6 Au 0.749 0.749 0.752  0.01
7 Au 0.251 0.251 0.248  0.01

Values from the calculation:
Energy of formation, eV/atom: -0.471
SG: R-3m
M_tot, μB/f.u.: 0.568
V, Å³/atom: 29.77